Here is an optimized crystal structure of ScCrMo2 from Alexandria. Energies are from PBE-GGA.

a b c (Å): 3.170 4.483 4.519
angles (deg): 90.00 90.00 90.00
Space group Pmmm (No. 47)
Symmetry-distinct sites (fractional):
Sc 0.000 0.000 0.000 [1 per cell]
Cr 0.500 0.500 0.000 [1 per cell]
Mo 0.000 0.500 0.500 [1 per cell]
Mo 0.500 0.000 0.500 [1 per cell]

Calculated values
ΔH_f (0 K) ... 0.21 eV per atom
Energy above the most stable polymorph in this dataset ... 90 meV per atom
Total energy ... -9.19 eV per atom
Total magnetization ... 1.7 μB/cell


Here is an optimized crystal structure of Zr2NbCu from Alexandria. Energies are from PBE-GGA.

a b c (Å): 4.061 4.061 19.506
angles (deg): 90.00 90.00 90.00
Space group I-42d (No. 122)
Symmetry-distinct sites (fractional):
Zr 0.249 0.250 0.125 [8 per cell]
Nb 0.000 0.000 0.000 [4 per cell]
Cu 0.000 0.000 0.500 [4 per cell]

Calculated values
ΔH_f (0 K) ... 0.53 eV per atom
Energy above the most stable polymorph in this dataset ... 571 meV per atom
Total energy ... -7.29 eV per atom
Total magnetization ... 0.0 μB/cell


Here is an optimized crystal structure of Tb5Pm2PrHo from Alexandria. Energies are from PBE-GGA.

a b c (Å): 8.793 8.793 15.466
angles (deg): 90.00 90.00 90.00
Space group I4/mcm (No. 140)
Symmetry-distinct sites (fractional):
Tb 0.000 0.000 0.000 [4 per cell]
Tb 0.209 0.291 0.137 [16 per cell]
Pm 0.116 0.384 0.500 [8 per cell]
Pr 0.000 0.000 0.250 [4 per cell]
Ho 0.000 0.500 0.250 [4 per cell]

Calculated values
ΔH_f (0 K) ... 0.27 eV per atom
Total energy ... -4.40 eV per atom
Total magnetization ... 0.0 μB/cell


Here is an optimized crystal structure of TmTeRh2 from Alexandria. Energies are from PBE-GGA.

a b c (Å): 4.417 4.417 3.793
angles (deg): 90.00 90.00 90.00
Space group P4/mmm (No. 123)
Symmetry-distinct sites (fractional):
Tm 0.000 0.000 0.000 [1 per cell]
Te 0.500 0.500 0.000 [1 per cell]
Rh 0.000 0.500 0.500 [2 per cell]

Calculated values
Total energy ... -6.23 eV per atom
Formation energy from raw total energies ... -647.6 meV/atom
Total magnetization ... 0.0 μB/cell


Q: The lowest total energy belongs to which entry?
A: ScCrMo2